{"formula": "Nd4Te2RhS", "functional": "PBE", "state": "optimized geometry", "formation_energy_uncorrected_ev_per_atom": -1.366, "lattice_angstrom": [[7.4821, 0.0000, 0.0000], [0.0000, 4.2170, 0.0000], [-2.4492, 0.0000, 7.2918]], "species": ["Nd", "Nd", "Nd", "Nd", "Te", "Te", "Rh", "S"], "fractional_positions": [[0.2293, 0.0000, 0.2106], [0.2604, 0.5000, 0.7837], [0.7396, 0.5000, 0.2163], [0.7707, 0.0000, 0.7894], [0.0000, 0.0000, 0.5000], [0.5000, 0.5000, 0.5000], [0.0000, 0.5000, 0.0000], [0.5000, 0.0000, 0.0000]]}



{"formula": "Cs2KCdHg6", "functional": "PBE", "state": "optimized geometry", "ef_ev_per_fu": -1.81, "lattice_angstrom": [[6.8753, 0.0000, 0.0000], [2.7461, 6.8538, 0.0000], [2.9328, 0.7243, 8.7497]], "species": ["Cs", "Cs", "K", "Cd", "Hg", "Hg", "Hg", "Hg", "Hg", "Hg"], "fractional_positions": [[0.1963, 0.3477, 0.2368], [0.8037, 0.6523, 0.7632], [0.0000, 0.0000, 0.0000], [0.5000, 0.5000, 0.5000], [0.1609, 0.8201, 0.3651], [0.3111, 0.9456, 0.6187], [0.3591, 0.2569, 0.8041], [0.6409, 0.7431, 0.1959], [0.6889, 0.0544, 0.3813], [0.8391, 0.1799, 0.6349]]}



{"formula": "NdZnGaAg", "functional": "PBE", "state": "optimized geometry", "ef_ev_per_fu": -1.34, "lattice_angstrom": [[0.0000, 3.4419, 3.4419], [3.4419, 0.0000, 3.4419], [3.4419, 3.4419, 0.0000]], "species": ["Nd", "Zn", "Ga", "Ag"], "fractional_positions": [[0.0000, 0.0000, 0.0000], [0.7500, 0.7500, 0.7500], [0.2500, 0.2500, 0.2500], [0.5000, 0.5000, 0.5000]]}



{"formula": "BaZn2AgRh", "functional": "PBE", "state": "optimized geometry", "polymorph_energy_kj_per_mol_atoms": 0.0, "ef_ev_per_fu": -0.99, "lattice_angstrom": [[4.8610, 0.0000, 0.0000], [0.0000, 4.8610, 0.0000], [0.0000, 0.0000, 5.3216]], "species": ["Ba", "Zn", "Zn", "Ag", "Rh"], "fractional_positions": [[0.0000, 0.0000, 0.0000], [0.0000, 0.5000, 0.5000], [0.5000, 0.0000, 0.5000], [0.5000, 0.5000, 0.0000], [0.5000, 0.5000, 0.5000]]}



no.,DFT total energy (eV for the cell shown)
1,-47.76
2,-7.34
3,-13.26
4,-15.66